1.
This record from the Alexandria database describes AcAlGe2Pd4 after structural relaxation. The functional is PBE-GGA.

Unit cell a=9.3963 b=9.3963 c=9.3963 alpha=26.94 beta=26.94 gamma=26.94
With the nearest neighbours (Å) after each atom.
Fractional positions:
Ac  0.0000  0.0000  0.0000  6 Pd 3.26, 6 Ge 3.48
Al  0.5000  0.5000  0.5000  8 Pd 2.46-2.63
Ge  0.2452  0.2452  0.2452  3 Pd 2.55
Ge  0.7548  0.7548  0.7548  3 Pd 2.55
Pd  0.1398  0.1398  0.1398  3 Al 2.63, 4 Ge 2.86-2.89, 3 Pd 2.92
Pd  0.4093  0.4093  0.4093  1 Al 2.46, 3 Ge 2.55
Pd  0.5907  0.5907  0.5907  1 Al 2.46, 3 Ge 2.55
Pd  0.8602  0.8602  0.8602  3 Al 2.63, 4 Ge 2.86-2.89, 3 Pd 2.92

E: -5.423 eV per atom
Fermi-level density of states: 0.67 states/eV/atom
crystal system: trigonal
calculated formation energy: -0.6906 eV per atom

2.
This record from the Alexandria database describes Na2MgTl4In2 after structural relaxation. The functional is PBE-GGA.

Unit cell a=7.7793 b=7.7793 c=8.1231 alpha=105.82 beta=105.82 gamma=31.73
With the nearest neighbours (Å) after each atom.
Fractional positions:
Na  0.1173  0.1173  0.1520  7 Tl 3.24-3.45, 2 In 3.39
Na  0.8827  0.8827  0.8480  7 Tl 3.24-3.45, 2 In 3.39
Mg  0.0000  0.0000  0.5000  6 Tl 3.19-3.52, 4 In 3.30
Tl  0.2155  0.2155  0.8186  3 Na 3.24-3.43, 3 In 3.32-3.46, 4 Tl 3.36-3.54, 1 Mg 3.52
Tl  0.4599  0.4599  0.1944  2 Mg 3.19, 4 Na 3.26-3.45, 1 In 3.35, 2 Tl 3.36
Tl  0.5401  0.5401  0.8056  2 Mg 3.19, 4 Na 3.26-3.45, 1 In 3.35, 2 Tl 3.36
Tl  0.7845  0.7845  0.1814  3 Na 3.24-3.43, 3 In 3.32-3.46, 4 Tl 3.36-3.54, 1 Mg 3.52
In  0.3329  0.3329  0.5083  2 In 3.24, 2 Mg 3.30, 5 Tl 3.32-3.59, 2 Na 3.39
In  0.6671  0.6671  0.4917  2 In 3.24, 2 Mg 3.30, 5 Tl 3.32-3.59, 2 Na 3.39

E: -2.199 eV per atom
Fermi-level density of states: 0.39 states/eV/atom
crystal system: monoclinic
calculated formation energy: -0.0684 eV per atom

3.
This record from the Alexandria database describes Sc4CdRh after structural relaxation. The functional is PBE-GGA.

Unit cell a=9.0122 b=9.0122 c=9.0122 alpha=60.00 beta=60.00 gamma=60.00
With the nearest neighbours (Å) after each atom.
Fractional positions:
Sc  0.1861  0.1861  0.8139  2 Cd 3.01, 2 Rh 3.27, 6 Sc 3.27-3.36
Sc  0.1861  0.8139  0.1861  2 Cd 3.01, 2 Rh 3.27, 6 Sc 3.27-3.36
Sc  0.1861  0.8139  0.8139  2 Cd 3.01, 2 Rh 3.27, 6 Sc 3.27-3.36
Sc  0.3973  0.3973  0.3973  3 Rh 2.66
Sc  0.3973  0.3973  0.8082  3 Rh 2.66
Sc  0.3973  0.8082  0.3973  3 Rh 2.66
Sc  0.5617  0.5617  0.9383  2 Rh 2.66
Sc  0.5617  0.9383  0.5617  2 Rh 2.66
Sc  0.5617  0.9383  0.9383  2 Rh 2.66
Sc  0.8082  0.3973  0.3973  3 Rh 2.66
Sc  0.8139  0.1861  0.1861  2 Cd 3.01, 2 Rh 3.27, 6 Sc 3.27-3.36
Sc  0.8139  0.1861  0.8139  2 Cd 3.01, 2 Rh 3.27, 6 Sc 3.27-3.36
Sc  0.8139  0.8139  0.1861  2 Cd 3.01, 2 Rh 3.27, 6 Sc 3.27-3.36
Sc  0.9383  0.5617  0.5617  2 Rh 2.66
Sc  0.9383  0.5617  0.9383  2 Rh 2.66
Sc  0.9383  0.9383  0.5617  2 Rh 2.66
Cd  0.1665  0.1665  0.1665  3 Cd 3.01, 9 Sc 3.01-3.27
Cd  0.1665  0.1665  0.5005  3 Cd 3.01, 9 Sc 3.01-3.27
Cd  0.1665  0.5005  0.1665  3 Cd 3.01, 9 Sc 3.01-3.27
Cd  0.5005  0.1665  0.1665  3 Cd 3.01, 9 Sc 3.01-3.27
Rh  0.1819  0.6060  0.6060  6 Sc 2.66
Rh  0.6060  0.1819  0.6060  6 Sc 2.66
Rh  0.6060  0.6060  0.1819  6 Sc 2.66
Rh  0.6060  0.6060  0.6060  6 Sc 2.66

E: -6.076 eV per atom
Fermi-level density of states: 0.96 states/eV/atom
distance to the lowest polymorph of the same formula: 0 meV per atom
crystal system: cubic
calculated formation energy: -0.4773 eV per atom

4.
This record from the Alexandria database describes BeAg3Sn after structural relaxation. The functional is PBE-GGA.

Unit cell a=5.2244 b=5.2244 c=5.2244 alpha=90.00 beta=90.00 gamma=90.00
With the nearest neighbours (Å) after each atom.
Fractional positions:
Be  0.0000  0.0000  0.0000  12 Ag 3.69
Ag  0.0000  0.5000  0.5000  2 Sn 2.61
Ag  0.5000  0.0000  0.5000  2 Sn 2.61
Ag  0.5000  0.5000  0.0000  2 Sn 2.61
Sn  0.5000  0.5000  0.5000  6 Ag 2.61

E: -2.204 eV per atom
Fermi-level density of states: 0.49 states/eV/atom
distance to the lowest polymorph of the same formula: 750 meV per atom
crystal system: cubic
calculated formation energy: 1.0524 eV per atom

5.
This record from the Alexandria database describes ScCrMo2 after structural relaxation. The functional is PBE-GGA.

Unit cell a=2.9791 b=2.9791 c=25.6066 alpha=90.00 beta=90.00 gamma=120.00
With the nearest neighbours (Å) after each atom.
Fractional positions:
Sc  0.0000  0.0000  0.0000  6 Mo 2.96, 6 Sc 2.98
Sc  0.3333  0.6667  0.6667  6 Mo 2.96, 6 Sc 2.98
Sc  0.6667  0.3333  0.3333  6 Mo 2.96, 6 Sc 2.98
Cr  0.0000  0.0000  0.5000  6 Mo 2.53
Cr  0.3333  0.6667  0.1667  6 Mo 2.53
Cr  0.6667  0.3333  0.8333  6 Mo 2.53
Mo  0.0000  0.0000  0.2391  3 Cr 2.53
Mo  0.0000  0.0000  0.7609  3 Cr 2.53
Mo  0.3333  0.6667  0.4276  3 Cr 2.53
Mo  0.3333  0.6667  0.9057  3 Cr 2.53
Mo  0.6667  0.3333  0.0943  3 Cr 2.53
Mo  0.6667  0.3333  0.5724  3 Cr 2.53

E: -9.033 eV per atom
Fermi-level density of states: 1.19 states/eV/atom
distance to the lowest polymorph of the same formula: 247 meV per atom
crystal system: trigonal
calculated formation energy: 0.3710 eV per atom

6.
This record from the Alexandria database describes YBe2Tc after structural relaxation. The functional is PBE-GGA.

Unit cell a=3.2728 b=4.5578 c=8.0188 alpha=90.00 beta=90.00 gamma=90.00
With the nearest neighbours (Å) after each atom.
Fractional positions:
Y  0.0000  0.0000  0.0000  8 Be 2.81-2.84, 4 Tc 2.82-2.86
Y  0.5000  0.5000  0.5000  8 Be 2.81-2.84, 4 Tc 2.82-2.86
Be  0.0000  0.0000  0.4778  2 Be 2.23, 2 Tc 2.47
Be  0.0000  0.5000  0.7881  2 Be 2.23
Be  0.5000  0.0000  0.2881  2 Be 2.23
Be  0.5000  0.5000  0.9778  2 Be 2.23, 2 Tc 2.47
Tc  0.0000  0.5000  0.2081  2 Be 2.47
Tc  0.5000  0.0000  0.7081  2 Be 2.47

E: -5.801 eV per atom
Fermi-level density of states: 0.84 states/eV/atom
distance to the lowest polymorph of the same formula: 357 meV per atom
crystal system: orthorhombic
calculated formation energy: 0.2695 eV per atom

7.
This record from the Alexandria database describes CaThGe2Pt5 after structural relaxation. The functional is PBE-GGA.

Unit cell a=4.4024 b=4.4024 c=8.6767 alpha=90.00 beta=90.00 gamma=90.00
With the nearest neighbours (Å) after each atom.
Fractional positions:
Ca  0.0000  0.0000  0.0000  12 Pt 2.96-3.11
Th  0.0000  0.0000  0.5000  8 Pt 3.22, 8 Ge 3.35
Ge  0.5000  0.5000  0.3571  4 Pt 2.47, 1 Ge 2.48
Ge  0.5000  0.5000  0.6429  4 Pt 2.47, 1 Ge 2.48
Pt  0.0000  0.5000  0.2286  2 Ge 2.47
Pt  0.0000  0.5000  0.7714  2 Ge 2.47
Pt  0.5000  0.0000  0.2286  2 Ge 2.47
Pt  0.5000  0.0000  0.7714  2 Ge 2.47
Pt  0.5000  0.5000  0.0000  8 Pt 2.96, 2 Ge 3.10, 4 Ca 3.11

E: -6.241 eV per atom
Fermi-level density of states: 0.38 states/eV/atom
crystal system: tetragonal
calculated formation energy: -0.8119 eV per atom

8.
This record from the Alexandria database describes LaSm2Ho4Er after structural relaxation. The functional is PBE-GGA.

Unit cell a=7.1677 b=7.1720 c=11.5505 alpha=90.00 beta=90.03 gamma=119.81
With the nearest neighbours (Å) after each atom.
Fractional positions:
La  0.0000  0.0000  0.0000  6 Ho 3.57, 2 Sm 3.58, 2 Er 3.59, 2 La 3.60
La  0.5000  0.5000  0.0000  6 Ho 3.57, 2 Er 3.58, 2 Sm 3.59, 2 La 3.60
Sm  0.0000  0.0000  0.5000  6 Ho 3.54, 4 Sm 3.58-3.59, 2 Er 3.60
Sm  0.0000  0.5000  0.5000  6 Ho 3.54, 2 Er 3.58, 4 Sm 3.59-3.60
Sm  0.5000  0.0000  0.0000  6 Ho 3.57, 4 La 3.58-3.59, 2 Er 3.60
Sm  0.5000  0.0000  0.5000  6 Ho 3.54, 4 Sm 3.58-3.60, 2 Er 3.59
Ho  0.1670  0.3327  0.7486  2 Sm 3.54, 2 Er 3.54-3.57, 2 La 3.57, 6 Ho 3.58-3.60
Ho  0.1667  0.8327  0.7484  4 Sm 3.54-3.57, 1 Er 3.57, 1 La 3.57, 6 Ho 3.58-3.60
Ho  0.3331  0.1678  0.2515  1 Er 3.54, 3 Sm 3.54-3.57, 2 La 3.57, 6 Ho 3.58-3.60
Ho  0.3334  0.6673  0.2514  3 Sm 3.54-3.57, 2 Er 3.54-3.57, 1 La 3.57, 6 Ho 3.58-3.60
Ho  0.6666  0.3327  0.7486  3 Sm 3.54-3.57, 2 Er 3.54-3.57, 1 La 3.57, 6 Ho 3.58-3.60
Ho  0.6669  0.8322  0.7485  1 Er 3.54, 3 Sm 3.54-3.57, 2 La 3.57, 6 Ho 3.58-3.60
Ho  0.8333  0.1673  0.2516  4 Sm 3.54-3.57, 1 Er 3.57, 1 La 3.57, 6 Ho 3.58-3.60
Ho  0.8330  0.6673  0.2514  2 Sm 3.54, 2 Er 3.54-3.57, 2 La 3.57, 6 Ho 3.58-3.60
Er  0.0000  0.5000  0.0000  6 Ho 3.57, 4 La 3.58-3.59, 2 Sm 3.60
Er  0.5000  0.5000  0.5000  6 Ho 3.54, 6 Sm 3.58-3.60

E: -4.652 eV per atom
Fermi-level density of states: 1.40 states/eV/atom
crystal system: triclinic
calculated formation energy: 0.0028 eV per atom